The following is a PBE calculation of Tb3Sn2Pd7 after structural relaxation, from the Alexandria database.

Cell: 14.9764 14.9764 14.9764 Å, 164.36 164.36 22.19°
Closest atoms and distances in Å follow each position.
Sites, in units of the cell vectors:
Tb (0.0000, 0.0000, 0.0000)  12 Pd 2.88-2.94
Tb (0.1818, 0.1818, 0.0000)  5 Pd 2.82-3.12
Tb (0.8182, 0.8182, 0.0000)  5 Pd 2.82-3.12
Sn (0.3705, 0.3705, 0.0000)  5 Pd 2.65-2.73
Sn (0.6295, 0.6295, 0.0000)  5 Pd 2.65-2.73
Pd (0.0720, 0.5720, 0.5000)  2 Sn 2.65, 6 Pd 2.88-2.94, 2 Tb 2.94
Pd (0.2777, 0.2777, 0.0000)  1 Sn 2.73, 1 Tb 2.82
Pd (0.4280, 0.9280, 0.5000)  2 Sn 2.65, 6 Pd 2.88-2.94, 2 Tb 2.94
Pd (0.5000, 0.5000, 0.0000)  4 Tb 2.88, 8 Pd 2.94
Pd (0.5720, 0.0720, 0.5000)  2 Sn 2.65, 6 Pd 2.88-2.94, 2 Tb 2.94
Pd (0.7223, 0.7223, 0.0000)  1 Sn 2.73, 1 Tb 2.82
Pd (0.9280, 0.4280, 0.5000)  2 Sn 2.65, 6 Pd 2.88-2.94, 2 Tb 2.94

- crystal system = tetragonal
- E_form (eV/atom) = -0.73
- E_tot (eV per atom) = -5.583
- calculated volume (Å³ per cell) = 244